Tb2TmAl | PBE | relaxed

abc: 9.288 9.291 5.095
angles: 90.00 90.00 90.00
Space group Cmmm (No. 65)
Asymmetric unit:
Tb1 0.196 0.000 0.000 [4 per cell]
Tb2 0.250 0.250 0.500 [4 per cell]
Tm1 0.000 0.305 0.000 [4 per cell]
Al1 0.000 0.000 0.500 [2 per cell]
Al2 0.000 0.500 0.500 [2 per cell]

- DOS(E_F): 4.06 states/eV/f.u.
- ΔH_f (0 K): -0.7 eV/f.u.
- Energy above the lowest structure with this stoichiometry: 26 meV/atom
- Total magnetization: 0.00 μB/f.u.
- Volume: 440 Å³/cell

PaBeFeP2 | PBE | relaxed

abc: 3.707 3.707 10.098
angles: 90.00 90.00 90.00
Space group I-4m2 (No. 119)
Asymmetric unit:
Pa1 0.000 0.000 0.000 [2 per cell]
Be1 0.000 0.500 0.750 [2 per cell]
Fe1 0.000 0.500 0.250 [2 per cell]
P1 0.000 0.000 0.372 [4 per cell]

- DOS(E_F): 4.77 states/eV/f.u.
- ΔH_f (0 K): -3.8 eV/f.u.
- Total magnetization: 0.00 μB/f.u.
- Volume: 139 Å³/cell

LiCaTc | PBE | relaxed

abc: 4.1979 4.1979 29.4282
angles: 90.00 90.00 120.00
Space group R3m (No. 160, hexagonal axes)
Asymmetric unit:
Li1 0.0000 0.0000 0.0000 [3 per cell]
Li2 0.0000 0.0000 0.4760 [3 per cell]
Ca1 0.0000 0.0000 0.7252 [3 per cell]
Ca2 0.0000 0.0000 0.8912 [3 per cell]
Tc1 0.0000 0.0000 0.3035 [3 per cell]
Tc2 0.0000 0.0000 0.6219 [3 per cell]

- DOS(E_F): 1.87 states/eV/f.u.
- ΔH_f (0 K): 0.5 eV/f.u.
- Energy above the lowest structure with this stoichiometry: 24 meV/atom
- Total magnetization: 0.00 μB/f.u.
- Volume: 449 Å³/cell

NaCd2ReN4 | PBE | relaxed

abc: 7.353 6.005 5.810
angles: 90.00 90.00 90.00
Space group Pmn2_1 (No. 31)
Asymmetric unit:
Na1 0.000 0.162 0.000 [2 per cell]
Cd1 0.246 0.320 0.512 [4 per cell]
Re1 0.000 0.814 0.511 [2 per cell]
N1 0.000 0.110 0.423 [2 per cell]
N2 0.000 0.790 0.826 [2 per cell]
N3 0.206 0.680 0.398 [4 per cell]

- DOS(E_F): 0.00 states/eV/f.u.
- Total magnetization: 0.00 μB/f.u.
- Volume: 257 Å³/cell
- Formation energy without anion corrections: 0.019 eV/atom

ReGe4Mo | PBE | relaxed

abc: 4.820 7.120 6.906
angles: 90.00 90.00 90.00
Space group Pnc2 (No. 30)
Asymmetric unit:
Re1 0.000 0.000 0.000 [2 per cell]
Ge1 0.118 0.249 0.756 [4 per cell]
Ge2 0.381 0.747 0.974 [4 per cell]
Mo1 0.500 0.000 0.221 [2 per cell]

- DOS(E_F): 3.35 states/eV/f.u.
- ΔH_f (0 K): 1.4 eV/f.u.
- Total magnetization: 0.00 μB/f.u.
- Volume: 237 Å³/cell

CaHg2GeOs | PBE | relaxed

abc: 5.039 5.039 5.728
angles: 90.00 90.00 90.00
Space group P4/mmm (No. 123)
Asymmetric unit:
Ca1 0.000 0.000 0.000 [1 per cell]
Hg1 0.000 0.500 0.500 [2 per cell]
Ge1 0.000 0.000 0.500 [1 per cell]
Os1 0.500 0.500 0.000 [1 per cell]

- DOS(E_F): 3.84 states/eV/f.u.
- ΔH_f (0 K): 5.7 eV/f.u.
- Total magnetization: 2.66 μB/f.u.
- Volume: 145 Å³/cell

Among the records above, which one has the lowest DOS(E_F)? NaCd2ReN4